Entry 1:
VASP calculation (PBE-GGA) on a relaxed structure of GaPRh3.

abc: 4.364 4.364 4.364
angles: 90.00 90.00 90.00
Atoms (fractional coordinates):
Ga1 0.000 0.000 0.000
P1 0.500 0.500 0.500
Rh1 0.000 0.500 0.500
Rh2 0.500 0.000 0.500
Rh3 0.500 0.500 0.000

ΔE_f: -0.061 eV/atom


Entry 2:
VASP calculation (PBE-GGA) on a relaxed structure of Ga3PRh.

abc: 4.744 4.744 4.744
angles: 90.00 90.00 90.00
Atoms (fractional coordinates):
Ga1 0.000 0.000 0.500
Ga2 0.000 0.500 0.000
Ga3 0.500 0.000 0.000
P1 0.500 0.500 0.500
Rh1 0.000 0.000 0.000

ΔE_f: 0.169 eV/atom


Entry 3:
VASP calculation (PBE-GGA) on a relaxed structure of GaP3Rh.

abc: 4.645 4.645 4.645
angles: 90.00 90.00 90.00
Atoms (fractional coordinates):
Ga1 0.000 0.000 0.000
P1 0.000 0.500 0.500
P2 0.500 0.000 0.500
P3 0.500 0.500 0.000
Rh1 0.500 0.500 0.500

ΔE_f: 0.624 eV/atom


Entry 4:
VASP calculation (PBE-GGA) on a relaxed structure of GaP2RhS.

abc: 4.479 4.479 5.208
angles: 90.00 90.00 90.00
Atoms (fractional coordinates):
Ga1 0.000 0.000 0.000
P1 0.000 0.500 0.500
P2 0.500 0.000 0.500
Rh1 0.500 0.500 0.500
S1 0.500 0.500 0.000

Formation energy from raw total energies: 0.460 eV/atom


Entry 5:
VASP calculation (PBE-GGA) on a relaxed structure of GaPRhS2.

abc: 4.900 4.900 4.349
angles: 90.00 90.00 90.00
Atoms (fractional coordinates):
Ga1 0.000 0.000 0.000
P1 0.500 0.500 0.000
Rh1 0.500 0.500 0.500
S1 0.000 0.500 0.500
S2 0.500 0.000 0.500

Formation energy from raw total energies: 0.373 eV/atom


Entry 6:
VASP calculation (PBE-GGA) on a relaxed structure of Ga2SbPRh.

abc: 4.534 4.534 5.279
angles: 90.00 90.00 90.00
Atoms (fractional coordinates):
Ga1 0.000 0.500 0.000
Ga2 0.500 0.000 0.000
Sb1 0.000 0.000 0.500
P1 0.000 0.000 0.000
Rh1 0.500 0.500 0.500

Formation energy from raw total energies: 0.627 eV/atom


What did we get for final energy? Answer: -30.80; -21.00; -23.49; -23.02; -22.18; -19.80 eV per cell, in the order shown.
What did we get for total magnetization? Answer: 0.0; 0.0; 0.0; 0.0; 0.0; 0.0 μB/cell, in the order shown.